Record 1
# ErThZrTi, relaxed, DFT PBE-GGA
data_ErThZrTi
_space_group_name_H-M_alt 'F -4 3 m'
_space_group_IT_number 216
_space_group_name_Hall 'F -4 2 3'
_cell_length_a 7.4149
_cell_length_b 7.4149
_cell_length_c 7.4149
_cell_angle_alpha 90.00
_cell_angle_beta 90.00
_cell_angle_gamma 90.00
loop_
_atom_site_label
_atom_site_fract_x
_atom_site_fract_y
_atom_site_fract_z
Er1 0.0000 0.0000 0.0000
Th1 0.0000 0.0000 0.5000
Zr1 0.2500 0.2500 0.7500
Ti1 0.2500 0.2500 0.2500
# ΔE_f: 198 meV/atom
# E_tot: -6.91 eV per atom
# density of states at the Fermi level: 23.9 states/eV/cell

=====

Record 2
# Er2ThTl, relaxed, DFT PBE-GGA
data_Er2ThTl
_space_group_name_H-M_alt 'P 4/m m m'
_space_group_IT_number 123
_space_group_name_Hall '-P 4 2'
_cell_length_a 3.5888
_cell_length_b 3.5888
_cell_length_c 8.9869
_cell_angle_alpha 90.00
_cell_angle_beta 90.00
_cell_angle_gamma 90.00
loop_
_atom_site_label
_atom_site_fract_x
_atom_site_fract_y
_atom_site_fract_z
Er1 0.0000 0.0000 0.2338
Th1 0.5000 0.5000 0.5000
Tl1 0.5000 0.5000 0.0000
# ΔE_f: -185 meV/atom
# energy above the lowest structure with this stoichiometry: 0.0 meV per atom
# E_tot: -4.91 eV per atom
# density of states at the Fermi level: 4.1 states/eV/cell

=====

Record 3
# ErThTl6, relaxed, DFT PBE-GGA
data_ErThTl6
_space_group_name_H-M_alt 'P 4/m m m'
_space_group_IT_number 123
_space_group_name_Hall '-P 4 2'
_cell_length_a 4.7841
_cell_length_b 4.7841
_cell_length_c 9.5656
_cell_angle_alpha 90.00
_cell_angle_beta 90.00
_cell_angle_gamma 90.00
loop_
_atom_site_label
_atom_site_fract_x
_atom_site_fract_y
_atom_site_fract_z
Er1 0.0000 0.0000 0.0000
Th1 0.0000 0.0000 0.5000
Tl1 0.0000 0.5000 0.2437
Tl2 0.5000 0.5000 0.0000
Tl3 0.5000 0.5000 0.5000
# ΔE_f: -172 meV/atom
# E_tot: -3.44 eV per atom
# density of states at the Fermi level: 4.1 states/eV/cell

=====

Record 4
# Er2ThTl2, relaxed, DFT PBE-GGA
data_Er2ThTl2
_space_group_name_H-M_alt 'P -3 m 1'
_space_group_IT_number 164
_space_group_name_Hall '-P 3 2"'
_cell_length_a 5.2597
_cell_length_b 5.2597
_cell_length_c 6.5871
_cell_angle_alpha 90.00
_cell_angle_beta 90.00
_cell_angle_gamma 120.00
loop_
_atom_site_label
_atom_site_fract_x
_atom_site_fract_y
_atom_site_fract_z
Er1 0.3333 0.6667 0.1697
Th1 0.0000 0.0000 0.5000
Tl1 0.3333 0.6667 0.7011
# ΔE_f: -15 meV/atom
# E_tot: -4.27 eV per atom
# density of states at the Fermi level: 6.8 states/eV/cell

=====

Record 5
# Er2Th2Tl7, relaxed, DFT PBE-GGA
data_Er2Th2Tl7
_space_group_name_H-M_alt 'C 1 2/m 1'
_space_group_IT_number 12
_cell_length_a 11.6003
_cell_length_b 9.5728
_cell_length_c 6.1153
_cell_angle_alpha 90.00
_cell_angle_beta 97.61
_cell_angle_gamma 90.00
loop_
_space_group_symop_operation_xyz
'x,y,z'
'-x,-y,-z'
'-x,y,-z'
'x,-y,z'
'x+1/2,y+1/2,z'
'-x+1/2,-y+1/2,-z'
'-x+1/2,y+1/2,-z'
'x+1/2,-y+1/2,z'
loop_
_atom_site_label
_atom_site_fract_x
_atom_site_fract_y
_atom_site_fract_z
Er1 0.0000 0.1850 0.0000
Th1 0.2337 0.5000 0.6870
Tl1 0.0000 0.0000 0.5000
Tl2 0.0364 0.5000 0.2453
Tl3 0.2307 0.1685 0.7747
# ΔE_f: 48 meV/atom
# E_tot: -3.64 eV per atom
# density of states at the Fermi level: 17.6 states/eV/cell

=====

Record 6
# Er2ThTl, relaxed, DFT PBE-GGA
data_Er2ThTl
_space_group_name_H-M_alt 'F m -3 m'
_space_group_IT_number 225
_space_group_name_Hall '-F 4 2 3'
_cell_length_a 7.7108
_cell_length_b 7.7108
_cell_length_c 7.7108
_cell_angle_alpha 90.00
_cell_angle_beta 90.00
_cell_angle_gamma 90.00
loop_
_atom_site_label
_atom_site_fract_x
_atom_site_fract_y
_atom_site_fract_z
Er1 0.2500 0.2500 0.2500
Th1 0.0000 0.0000 0.0000
Tl1 0.0000 0.0000 0.5000
# ΔE_f: 84 meV/atom
# energy above the lowest structure with this stoichiometry: 269.4 meV per atom
# E_tot: -4.64 eV per atom
# density of states at the Fermi level: 29.8 states/eV/cell

=====

Record 7
# ErTh2Tl, relaxed, DFT PBE-GGA
data_ErTh2Tl
_space_group_name_H-M_alt 'P 1 21/m 1'
_space_group_IT_number 11
_cell_length_a 4.7058
_cell_length_b 4.6901
_cell_length_c 11.5012
_cell_angle_alpha 90.00
_cell_angle_beta 101.89
_cell_angle_gamma 90.00
loop_
_space_group_symop_operation_xyz
'x,y,z'
'-x,-y,-z'
'-x,y+1/2,-z'
'x,-y+1/2,z'
loop_
_atom_site_label
_atom_site_fract_x
_atom_site_fract_y
_atom_site_fract_z
Er1 0.1949 0.2500 0.3871
Th1 0.0621 0.7500 0.1233
Th2 0.4388 0.7500 0.8784
Tl1 0.3273 0.2500 0.6579
# ΔE_f: -66 meV/atom
# energy above the lowest structure with this stoichiometry: 27.8 meV per atom
# E_tot: -5.51 eV per atom
# density of states at the Fermi level: 7.9 states/eV/cell

=====

Record 8
# ErTh2Tl, relaxed, DFT PBE-GGA
data_ErTh2Tl
_space_group_name_H-M_alt 'P 4/m m m'
_space_group_IT_number 123
_space_group_name_Hall '-P 4 2'
_cell_length_a 4.2371
_cell_length_b 4.2371
_cell_length_c 6.8763
_cell_angle_alpha 90.00
_cell_angle_beta 90.00
_cell_angle_gamma 90.00
loop_
_atom_site_label
_atom_site_fract_x
_atom_site_fract_y
_atom_site_fract_z
Er1 0.0000 0.0000 0.0000
Th1 0.5000 0.5000 0.2633
Tl1 0.0000 0.0000 0.5000
# ΔE_f: 26 meV/atom
# energy above the lowest structure with this stoichiometry: 120.0 meV per atom
# E_tot: -5.42 eV per atom
# density of states at the Fermi level: 6.0 states/eV/cell

=====

Record 9
# Er2ThTl, relaxed, DFT PBE-GGA
data_Er2ThTl
_space_group_name_H-M_alt 'R -3 m'
_space_group_IT_number 166
_space_group_name_Hall '-R 3 2"'
_cell_length_a 3.5596
_cell_length_b 3.5596
_cell_length_c 32.3377
_cell_angle_alpha 90.00
_cell_angle_beta 90.00
_cell_angle_gamma 120.00
loop_
_atom_site_label
_atom_site_fract_x
_atom_site_fract_y
_atom_site_fract_z
Er1 0.0000 0.0000 0.2472
Th1 0.0000 0.0000 0.0000
Tl1 0.0000 0.0000 0.5000
# ΔE_f: -136 meV/atom
# energy above the lowest structure with this stoichiometry: 48.6 meV per atom
# E_tot: -4.86 eV per atom
# density of states at the Fermi level: 10.0 states/eV/cell

=====

Record 10
# ErTh2Tl3, relaxed, DFT PBE-GGA
data_ErTh2Tl3
_space_group_name_H-M_alt 'P 4/m m m'
_space_group_IT_number 123
_space_group_name_Hall '-P 4 2'
_cell_length_a 3.5693
_cell_length_b 3.5693
_cell_length_c 13.3664
_cell_angle_alpha 90.00
_cell_angle_beta 90.00
_cell_angle_gamma 90.00
loop_
_atom_site_label
_atom_site_fract_x
_atom_site_fract_y
_atom_site_fract_z
Er1 0.0000 0.0000 0.0000
Th1 0.0000 0.0000 0.3284
Tl1 0.5000 0.5000 0.1564
Tl2 0.5000 0.5000 0.5000
# ΔE_f: -198 meV/atom
# energy above the lowest structure with this stoichiometry: 0.0 meV per atom
# E_tot: -4.62 eV per atom
# density of states at the Fermi level: 5.9 states/eV/cell

=====

Record 11
# Er5ThTl8, relaxed, DFT PBE-GGA
data_Er5ThTl8
_space_group_name_H-M_alt 'I -4'
_space_group_IT_number 82
_cell_length_a 9.1577
_cell_length_b 9.1577
_cell_length_c 9.4901
_cell_angle_alpha 90.00
_cell_angle_beta 90.00
_cell_angle_gamma 90.00
loop_
_space_group_symop_operation_xyz
'x,y,z'
'y,-x,-z'
'-x,-y,z'
'-y,x,-z'
'x+1/2,y+1/2,z+1/2'
'y+1/2,-x+1/2,-z+1/2'
'-x+1/2,-y+1/2,z+1/2'
'-y+1/2,x+1/2,-z+1/2'
loop_
_atom_site_label
_atom_site_fract_x
_atom_site_fract_y
_atom_site_fract_z
Er1 0.0000 0.0000 0.0000
Er2 0.1343 0.7775 0.3972
Th1 0.0000 0.5000 0.7500
Tl1 0.0705 0.6622 0.0688
Tl2 0.1014 0.8375 0.7181
# ΔE_f: -167 meV/atom
# E_tot: -3.68 eV per atom
# density of states at the Fermi level: 21.8 states/eV/cell

=====

Record 12
# ErTh2Tl, relaxed, DFT PBE-GGA
data_ErTh2Tl
_space_group_name_H-M_alt 'P 1 21/m 1'
_space_group_IT_number 11
_cell_length_a 7.1649
_cell_length_b 4.9034
_cell_length_c 7.4912
_cell_angle_alpha 90.00
_cell_angle_beta 112.83
_cell_angle_gamma 90.00
loop_
_space_group_symop_operation_xyz
'x,y,z'
'-x,-y,-z'
'-x,y+1/2,-z'
'x,-y+1/2,z'
loop_
_atom_site_label
_atom_site_fract_x
_atom_site_fract_y
_atom_site_fract_z
Er1 0.0658 0.2500 0.3542
Th1 0.3133 0.2500 0.8817
Th2 0.4220 0.7500 0.6172
Tl1 0.2002 0.7500 0.1353
# ΔE_f: -45 meV/atom
# energy above the lowest structure with this stoichiometry: 48.7 meV per atom
# E_tot: -5.49 eV per atom
# density of states at the Fermi level: 9.5 states/eV/cell

=====

Q: Among the records above, which one has the lowest E_tot?
A: ErThZrTi

=====

Q: What is the formula in the ninth record?
A: Er2ThTl

=====

Q: Which of these has the highest density of states at the Fermi level?
A: number 6